Entry 1:
DFT (PBE-GGA) results for NaNdB12 after structural relaxation.

Calculated formation energy ... -4.504 eV per formula unit

POSCAR file:
```
NaNdB12
1.0
5.0837 0.0000 2.9351
1.6946 4.7929 2.9351
0.0000 0.0000 5.8701
B Nd Na
12 1 1
Direct
0.3993 0.1007 0.1007
0.3993 0.1007 0.3993
0.1007 0.3993 0.1007
0.6007 0.6007 0.8993
0.8993 0.8993 0.6007
0.6007 0.8993 0.8993
0.1007 0.1007 0.3993
0.8993 0.6007 0.6007
0.8993 0.6007 0.8993
0.3993 0.3993 0.1007
0.1007 0.3993 0.3993
0.6007 0.8993 0.6007
0.5000 0.5000 0.5000
0.0000 0.0000 0.0000
```


Entry 2:
DFT (PBE-GGA) results for Ac2TlAu3 after structural relaxation.

Calculated formation energy ... -3.900 eV per formula unit
Energy above the lowest structure with this stoichiometry ... 2.9 kJ/mol of atoms

POSCAR file:
```
Ac2TlAu3
1.0
0.3215 4.1887 -0.9840
0.8203 -1.0299 -4.1161
-9.7666 -1.3194 0.6523
Tl Ac Au
1 2 3
Direct
0.4584 0.9584 0.9168
0.1309 0.1309 0.2618
0.8550 0.3550 0.7099
0.7034 0.7034 0.4067
0.2973 0.7973 0.5946
0.5551 0.5551 0.1101
```


no.,D(E_F) (states/eV/cell)
1,0.71
2,3.56